A plane-wave DFT calculation with PBE-GGA was carried out for NbBTe after structural relaxation.

a = 4.1905 Å, b = 4.1905 Å, c = 4.1905 Å
α = 60.00°, β = 60.00°, γ = 60.00°
Closest atoms and distances in Å follow each position.
Sites, in units of the cell vectors:
Nb 0.0000 0.0000 0.0000  4 B 2.57
B 0.2500 0.2500 0.2500  4 Nb 2.57, 4 Te 2.57
Te 0.5000 0.5000 0.5000  4 B 2.57

Output
- V: 52.0 Å³/cell
- ΔE to the lowest computed polymorph: 0.0000 eV per atom
- Total magnetic moment: 0.000 μB/cell

***

A plane-wave DFT calculation with PBE-GGA was carried out for DyAl2Hg after structural relaxation.

a = 6.2308 Å, b = 6.2308 Å, c = 4.8330 Å
α = 90.00°, β = 90.00°, γ = 116.95°
Closest atoms and distances in Å follow each position.
Sites, in units of the cell vectors:
Dy 0.1535 0.8465 0.7500  4 Hg 3.05-3.26, 8 Al 3.05-3.21
Dy 0.8465 0.1535 0.2500  4 Hg 3.05-3.26, 8 Al 3.05-3.21
Al 0.2067 0.3578 0.7500  3 Al 2.84-2.90, 3 Hg 2.98-2.99, 3 Dy 3.05-3.15
Al 0.3578 0.2067 0.2500  3 Al 2.84-2.90, 3 Hg 2.98-2.99, 3 Dy 3.05-3.15
Al 0.6422 0.7933 0.7500  3 Al 2.84-2.90, 3 Hg 2.98-2.99, 3 Dy 3.05-3.15
Al 0.7933 0.6422 0.2500  3 Al 2.84-2.90, 3 Hg 2.98-2.99, 3 Dy 3.05-3.15
Hg 0.3280 0.6720 0.2500  8 Al 2.98-3.25, 4 Dy 3.05-3.26
Hg 0.6720 0.3280 0.7500  8 Al 2.98-3.25, 4 Dy 3.05-3.26

Output
- V: 167.3 Å³/cell
- ΔE to the lowest computed polymorph: 0.0103 eV per atom
- Total magnetic moment: 0.001 μB/cell

***

A plane-wave DFT calculation with PBE-GGA was carried out for Tl5Au4 after structural relaxation.

a = 5.9732 Å, b = 5.9732 Å, c = 10.9442 Å
α = 109.91°, β = 109.91°, γ = 39.36°
Closest atoms and distances in Å follow each position.
Sites, in units of the cell vectors:
Tl 0.0000 0.0000 0.0000  4 Au 2.96
Tl 0.1108 0.1108 0.3909  7 Au 2.98-3.33
Tl 0.2496 0.2496 0.8233  5 Au 3.05-3.33
Tl 0.7504 0.7504 0.1767  5 Au 3.05-3.33
Tl 0.8892 0.8892 0.6091  7 Au 2.98-3.33
Au 0.3776 0.3776 0.3973  2 Au 2.85-2.86, 5 Tl 2.98-3.07
Au 0.4543 0.4543 0.1763  1 Au 2.85, 6 Tl 2.96-3.11
Au 0.5457 0.5457 0.8237  1 Au 2.85, 6 Tl 2.96-3.11
Au 0.6224 0.6224 0.6027  2 Au 2.85-2.86, 5 Tl 2.98-3.07

Output
- V: 230.9 Å³/cell
- ΔE to the lowest computed polymorph: 0.0000 eV per atom

***

A plane-wave DFT calculation with PBE-GGA was carried out for GdBO3 after structural relaxation.

a = 4.9141 Å, b = 4.9141 Å, c = 4.9141 Å
α = 119.71°, β = 90.93°, γ = 119.23°
Closest atoms and distances in Å follow each position.
Sites, in units of the cell vectors:
Gd 0.2506 0.0006 0.2500  11 O 2.31-2.54
Gd 0.7494 0.9994 0.7500  11 O 2.31-2.54
B 0.0000 0.5000 0.5000  6 O 1.73-1.76
B 0.5000 0.5000 0.0000  6 O 1.73-1.76
O 0.2325 0.0000 0.7325  2 B 1.76
O 0.2325 0.5000 0.2325  2 B 1.76
O 0.2845 0.5345 0.7500  2 B 1.73
O 0.7155 0.4655 0.2500  2 B 1.73
O 0.7675 0.0000 0.2675  2 B 1.76
O 0.7675 0.5000 0.7675  2 B 1.76

Output
- Uncorrected energy: -75.0 eV/cell
- V: 84.6 Å³/cell
- Total magnetic moment: 0.003 μB/cell

***

A plane-wave DFT calculation with PBE-GGA was carried out for Lu2TaNi after structural relaxation.

a = 4.8073 Å, b = 4.8073 Å, c = 4.8073 Å
α = 60.00°, β = 60.00°, γ = 60.00°
Closest atoms and distances in Å follow each position.
Sites, in units of the cell vectors:
Lu 0.0000 0.0000 0.0000  4 Ni 2.94, 4 Lu 2.94
Lu 0.2500 0.2500 0.2500  4 Ta 2.94, 4 Lu 2.94
Ta 0.5000 0.5000 0.5000  4 Ni 2.94, 4 Lu 2.94
Ni 0.7500 0.7500 0.7500  4 Lu 2.94, 4 Ta 2.94

Output
- V: 78.6 Å³/cell
- Formation energy from the elements: 374 meV/atom
- Total magnetic moment: 0.036 μB/cell

***

A plane-wave DFT calculation with PBE-GGA was carried out for Rb2NaHgCl6 after structural relaxation.

a = 7.4677 Å, b = 7.4677 Å, c = 7.4677 Å
α = 60.00°, β = 60.00°, γ = 60.00°
Closest atoms and distances in Å follow each position.
Sites, in units of the cell vectors:
Rb 0.2500 0.2500 0.2500  12 Cl 3.73
Rb 0.7500 0.7500 0.7500  12 Cl 3.73
Na 0.0000 0.0000 0.0000  6 Cl 2.68
Hg 0.5000 0.5000 0.5000  6 Cl 2.60
Cl 0.2541 0.2541 0.7459  1 Hg 2.60, 1 Na 2.68
Cl 0.2541 0.7459 0.2541  1 Hg 2.60, 1 Na 2.68
Cl 0.2541 0.7459 0.7459  1 Hg 2.60, 1 Na 2.68
Cl 0.7459 0.2541 0.2541  1 Hg 2.60, 1 Na 2.68
Cl 0.7459 0.2541 0.7459  1 Hg 2.60, 1 Na 2.68
Cl 0.7459 0.7459 0.2541  1 Hg 2.60, 1 Na 2.68

Output
- V: 294.5 Å³/cell
- ΔE to the lowest computed polymorph: 0.0073 eV per atom

***

A plane-wave DFT calculation with PBE-GGA was carried out for RbNdO2 after structural relaxation.

a = 6.8432 Å, b = 6.8432 Å, c = 6.8432 Å
α = 30.83°, β = 30.83°, γ = 30.83°
Closest atoms and distances in Å follow each position.
Sites, in units of the cell vectors:
Rb 0.0000 0.0000 0.0000  6 O 2.94
Nd 0.5000 0.5000 0.5000  6 O 2.42
O 0.2280 0.2280 0.2280  3 Nd 2.42
O 0.7720 0.7720 0.7720  3 Nd 2.42

Output
- Uncorrected energy: -25.9 eV/cell
- V: 74.6 Å³/cell
- Total magnetic moment: 0.001 μB/cell

***

A plane-wave DFT calculation with PBE-GGA was carried out for Li2CdI4 after structural relaxation.

a = 7.8172 Å, b = 7.8172 Å, c = 7.8172 Å
α = 132.15°, β = 132.15°, γ = 70.00°
Closest atoms and distances in Å follow each position.
Sites, in units of the cell vectors:
Li 0.0000 0.0000 0.0000  4 I 2.76
Li 0.7500 0.2500 0.5000  4 I 2.76
Cd 0.5000 0.5000 0.0000  4 I 2.84
I 0.1204 0.1065 0.4893  2 Li 2.76, 1 Cd 2.84
I 0.3689 0.8796 0.9861  2 Li 2.76, 1 Cd 2.84
I 0.6172 0.6311 0.5107  2 Li 2.76, 1 Cd 2.84
I 0.8935 0.3828 0.0139  2 Li 2.76, 1 Cd 2.84

Output
- Uncorrected energy: -17.5 eV/cell
- V: 257.5 Å³/cell